No. 1
Material: AcLa2Tl
Method: DFT, PBE
State: relaxed

Total energy ... -4.1914 eV per atom
Space-group type ... No. 160
Fermi-level density of states ... 1.44 states/eV/atom
ΔH_f (0 K) ... -109.0 meV per atom

Unit cell a=3.9329 b=3.9329 c=11.5046 alpha=80.16 beta=80.16 gamma=60.00
Element x y z (fractional)
La  0.2591  0.2591  0.2228
La  0.0744  0.0744  0.7768
Ac  0.4999  0.4999  0.5004
Tl  0.6667  0.6667  0.0000



No. 2
Material: Ac4LaTl4
Method: DFT, PBE
State: relaxed

Total energy ... -3.6150 eV per atom
Space-group type ... No. 86
Fermi-level density of states ... 0.94 states/eV/atom
ΔH_f (0 K) ... -189.9 meV per atom

Unit cell a=6.5007 b=9.9716 c=9.9716 alpha=90.00 beta=90.00 gamma=90.00
Element x y z (fractional)
Ac  0.6257  0.1708  0.4206
Ac  0.1257  0.0794  0.6708
Ac  0.3743  0.4206  0.8292
Ac  0.6257  0.8292  0.5794
Ac  0.3743  0.5794  0.1708
Ac  0.1257  0.9206  0.3292
Ac  0.8743  0.3292  0.0794
Ac  0.8743  0.6708  0.9206
Tl  0.8812  0.3989  0.6984
Tl  0.1188  0.6984  0.6011
Tl  0.3812  0.1984  0.1011
Tl  0.1188  0.3016  0.3989
Tl  0.8812  0.6011  0.3016
Tl  0.3812  0.8016  0.8989
Tl  0.6188  0.8989  0.1984
Tl  0.6188  0.1011  0.8016
La  0.0000  0.0000  0.0000
La  0.5000  0.5000  0.5000



No. 3
Material: Ac4LaTl5
Method: DFT, PBE
State: relaxed

Total energy ... -3.6842 eV per atom
Space-group type ... No. 123
Fermi-level density of states ... 1.16 states/eV/atom
ΔH_f (0 K) ... -364.9 meV per atom

Unit cell a=4.0846 b=4.0846 c=20.7384 alpha=90.00 beta=90.00 gamma=90.00
Element x y z (fractional)
Tl  0.5000  0.5000  0.2954
Tl  0.5000  0.5000  0.0918
Tl  0.5000  0.5000  0.5000
Tl  0.5000  0.5000  0.9082
Tl  0.5000  0.5000  0.7046
La  0.0000  0.0000  0.0000
Ac  0.0000  0.0000  0.3979
Ac  0.0000  0.0000  0.1944
Ac  0.0000  0.0000  0.8056
Ac  0.0000  0.0000  0.6021



No. 4
Material: Ac2LaTl
Method: DFT, PBE
State: relaxed

Total energy ... -3.8863 eV per atom
Space-group type ... No. 225
Fermi-level density of states ... 1.87 states/eV/atom
ΔH_f (0 K) ... -8.6 meV per atom

Unit cell a=5.9415 b=5.9415 c=5.9415 alpha=60.00 beta=60.00 gamma=60.00
Element x y z (fractional)
La  0.5000  0.5000  0.5000
Ac  0.7500  0.7500  0.7500
Ac  0.2500  0.2500  0.2500
Tl  0.0000  0.0000  0.0000



No. 5
Material: AcLa3Tl2
Method: DFT, PBE
State: relaxed

Total energy ... -4.1715 eV per atom
Space-group type ... No. 12
Fermi-level density of states ... 0.87 states/eV/atom
ΔH_f (0 K) ... -234.3 meV per atom

Unit cell a=5.1773 b=10.5802 c=8.8659 alpha=118.68 beta=90.00 gamma=104.16
Element x y z (fractional)
Tl  0.2402  0.4804  0.8418
Tl  0.7598  0.5196  0.1582
Tl  0.5156  0.0313  0.1889
Tl  0.4844  0.9687  0.8111
La  0.0645  0.1289  0.4518
La  0.3775  0.7550  0.2731
La  0.6225  0.2450  0.7269
La  0.6981  0.3962  0.4332
La  0.3019  0.6038  0.5668
La  0.9355  0.8711  0.5482
Ac  0.8843  0.7686  0.9473
Ac  0.1157  0.2314  0.0527



No. 6
Material: Ac2LaTl9
Method: DFT, PBE
State: relaxed

Total energy ... -3.1993 eV per atom
Space-group type ... No. 123
Fermi-level density of states ... 0.29 states/eV/atom
ΔH_f (0 K) ... -329.2 meV per atom

Unit cell a=4.9720 b=4.9720 c=14.9133 alpha=90.00 beta=90.00 gamma=90.00
Element x y z (fractional)
La  0.0000  0.0000  0.0000
Tl  0.5000  0.0000  0.8386
Tl  0.5000  0.5000  0.3320
Tl  0.5000  0.0000  0.1614
Tl  0.5000  0.5000  0.0000
Tl  0.5000  0.0000  0.5000
Tl  0.0000  0.5000  0.8386
Tl  0.5000  0.5000  0.6680
Tl  0.0000  0.5000  0.1614
Tl  0.0000  0.5000  0.5000
Ac  0.0000  0.0000  0.6700
Ac  0.0000  0.0000  0.3300



No. 7
Material: AcLa3Tl
Method: DFT, PBE
State: relaxed

Total energy ... -4.3896 eV per atom
Space-group type ... No. 63
Fermi-level density of states ... 1.28 states/eV/atom
ΔH_f (0 K) ... -138.2 meV per atom

Unit cell a=4.9878 b=5.1772 c=13.8365 alpha=90.00 beta=79.62 gamma=90.00
Element x y z (fractional)
La  0.2685  0.7500  0.1113
La  0.5725  0.2500  0.5034
La  0.0759  0.7500  0.4966
La  0.8716  0.7500  0.9052
La  0.3798  0.2500  0.8887
La  0.7768  0.2500  0.0948
Tl  0.9770  0.2500  0.6943
Tl  0.6713  0.7500  0.3057
Ac  0.1730  0.2500  0.3024
Ac  0.4754  0.7500  0.6976



No. 8
Material: AcLa3Tl
Method: DFT, PBE
State: relaxed

Total energy ... -4.3548 eV per atom
Space-group type ... No. 15
Fermi-level density of states ... 1.21 states/eV/atom
ΔH_f (0 K) ... -103.4 meV per atom

Unit cell a=9.0048 b=9.0048 c=12.9778 alpha=92.14 beta=92.14 gamma=43.03
Element x y z (fractional)
Tl  0.5462  0.4538  0.7500
Tl  0.4538  0.5462  0.2500
Tl  0.0000  0.5000  0.5000
Tl  0.5000  0.0000  0.0000
La  0.9393  0.8582  0.3202
La  0.1418  0.0607  0.1798
La  0.0607  0.1418  0.6798
La  0.8582  0.9393  0.8202
La  0.7985  0.3004  0.4415
La  0.7355  0.6564  0.2186
La  0.2645  0.3436  0.7814
La  0.2015  0.6996  0.5585
La  0.6564  0.7355  0.7186
La  0.3436  0.2645  0.2814
La  0.3004  0.7985  0.9415
La  0.6996  0.2015  0.0585
Ac  0.0988  0.6076  0.0600
Ac  0.9012  0.3924  0.9400
Ac  0.6076  0.0988  0.5600
Ac  0.3924  0.9012  0.4400